No. 1
First-principles (GGA-PBE) data for a relaxed structure of Ho4Ag3Os, as listed in the Alexandria database.

Unit cell a=3.491 b=3.491 c=14.798 alpha=90.00 beta=90.00 gamma=90.00
Element x y z (fractional)
Ho: 0.000 0.000 0.628
Ho: 0.000 0.000 0.372
Ho: 0.000 0.000 0.111
Ho: 0.000 0.000 0.889
Ag: 0.500 0.500 0.246
Ag: 0.500 0.500 0.754
Os: 0.500 0.500 0.000
Ag: 0.500 0.500 0.500

Output
Magnetization in μB/f.u.: 0.000
Raw total energy in eV per atom: -5.076
Symmetry: P4/mmm (123)

=====

No. 2
First-principles (GGA-PBE) data for a relaxed structure of Ba2NpTlS5, as listed in the Alexandria database.

Unit cell a=4.196 b=10.416 c=11.847 alpha=90.00 beta=90.00 gamma=101.62
Each line ends with the local moment (μB).
Element x y z (fractional)
S: 0.279 0.557 0.651  -0.10
Np: 0.772 0.544 0.508  2.89
S: 0.500 0.000 0.758  -0.01
S: 0.721 0.443 0.151  -0.10
Np: 0.228 0.456 0.008  2.89
Ba: 0.881 0.762 0.794  0.00
S: 0.104 0.207 0.008  -0.10
Ba: 0.119 0.238 0.294  0.00
S: 0.721 0.443 0.866  -0.10
Ba: 0.119 0.238 0.722  0.00
S: 0.279 0.557 0.366  -0.10
S: 0.500 0.000 0.258  -0.01
Tl: 0.511 0.023 0.008  -0.03
S: 0.356 0.712 0.008  -0.07
Ba: 0.881 0.762 0.222  0.00
Tl: 0.489 0.977 0.508  -0.03
S: 0.644 0.288 0.508  -0.07
S: 0.896 0.793 0.508  -0.10

Output
Magnetization in μB/f.u.: 2.365
Symmetry: Cmcm (63)
Uncorrected formation energy in eV per atom: -1.405

=====

No. 3
First-principles (GGA-PBE) data for a relaxed structure of Sr2CrCd, as listed in the Alexandria database.

Unit cell a=9.347 b=9.347 c=9.347 alpha=27.37 beta=27.37 gamma=27.37
Each line ends with the local moment (μB).
Element x y z (fractional)
Sr: 0.498 0.498 0.498  0.02
Sr: 0.002 0.002 0.002  0.02
Cr: 0.750 0.750 0.750  4.12
Cd: 0.250 0.250 0.250  -0.02

Output
Magnetization in μB/f.u.: 4.877
Raw total energy in eV per atom: -3.028
Symmetry: R-3m (166)

=====

No. 4
First-principles (GGA-PBE) data for a relaxed structure of La12Y5Ho2, as listed in the Alexandria database.

Unit cell a=5.299 b=13.551 c=13.551 alpha=45.96 beta=78.74 gamma=78.74
Element x y z (fractional)
La: 0.593 0.164 0.650
La: 0.195 0.549 0.061
Y: 0.500 0.000 0.000
Y: 0.301 0.199 0.199
La: 0.899 0.102 0.102
La: 0.805 0.939 0.451
La: 0.407 0.836 0.350
La: 0.915 0.586 0.586
Y: 0.301 0.699 0.699
Y: 0.699 0.801 0.801
La: 0.593 0.650 0.164
La: 0.085 0.414 0.414
La: 0.195 0.061 0.549
La: 0.805 0.451 0.939
La: 0.101 0.898 0.898
Ho: 0.000 0.219 0.781
La: 0.407 0.350 0.836
Y: 0.699 0.301 0.301
Ho: 0.000 0.781 0.219

Output
Magnetization in μB/f.u.: 0.000
ΔE to the lowest computed polymorph in meV/atom: 0
Symmetry: Immm (71)

=====

Please write out number 4 again, unchanged.
First-principles (GGA-PBE) data for a relaxed structure of La12Y5Ho2, as listed in the Alexandria database.

Unit cell a=5.299 b=13.551 c=13.551 alpha=45.96 beta=78.74 gamma=78.74
Element x y z (fractional)
La: 0.593 0.164 0.650
La: 0.195 0.549 0.061
Y: 0.500 0.000 0.000
Y: 0.301 0.199 0.199
La: 0.899 0.102 0.102
La: 0.805 0.939 0.451
La: 0.407 0.836 0.350
La: 0.915 0.586 0.586
Y: 0.301 0.699 0.699
Y: 0.699 0.801 0.801
La: 0.593 0.650 0.164
La: 0.085 0.414 0.414
La: 0.195 0.061 0.549
La: 0.805 0.451 0.939
La: 0.101 0.898 0.898
Ho: 0.000 0.219 0.781
La: 0.407 0.350 0.836
Y: 0.699 0.301 0.301
Ho: 0.000 0.781 0.219

Output
Magnetization in μB/f.u.: 0.000
ΔE to the lowest computed polymorph in meV/atom: 0
Symmetry: Immm (71)